(1)
Material: PdSe
Method: DFT, GGA-PBE
State: relaxed

abc: 7.1518 7.1518 3.7340
angles: 90.00 90.00 90.00
With the nearest neighbours (Å) after each atom.
Fractional coordinates of all 8 atoms:
1 Pd 0.3634 0.3634 0.0000  4 Se 2.47-2.48, 1 Pd 2.76
2 Pd 0.6366 0.6366 0.0000  4 Se 2.47-2.48, 1 Pd 2.76
3 Se 0.7038 0.2962 0.0000  4 Pd 2.47-2.48
4 Pd 0.1366 0.8634 0.5000  4 Se 2.47-2.48, 1 Pd 2.76
5 Se 0.2038 0.2038 0.5000  4 Pd 2.47-2.48
6 Se 0.7962 0.7962 0.5000  4 Pd 2.47-2.48
7 Se 0.2962 0.7038 0.0000  4 Pd 2.47-2.48
8 Pd 0.8634 0.1366 0.5000  4 Se 2.47-2.48, 1 Pd 2.76

## Properties
Formation energy (no corrections), eV per atom: -0.171

=====

(2)
Material: Pd5Se6
Method: DFT, GGA-PBE
State: relaxed

abc: 7.3829 6.4498 6.6635
angles: 76.76 66.41 55.09
With the nearest neighbours (Å) after each atom.
Fractional coordinates of all 11 atoms:
1 Pd 0.8665 0.2670 0.5000  4 Se 2.49-2.53
2 Se 0.2945 0.0000 0.2701  5 Pd 2.53-2.71
3 Se 0.8694 0.6189 0.2522  4 Pd 2.49-2.62
4 Pd 0.5000 0.0000 0.5000  6 Se 2.55-2.61
5 Se 0.7055 0.0000 0.7299  5 Pd 2.53-2.71
6 Se 0.4883 0.3811 0.2522  4 Pd 2.49-2.62
7 Pd 0.3110 0.3780 0.0000  6 Se 2.52-2.71
8 Se 0.1306 0.3811 0.7478  4 Pd 2.49-2.62
9 Se 0.5117 0.6189 0.7478  4 Pd 2.49-2.62
10 Pd 0.6890 0.6220 0.0000  6 Se 2.52-2.71
11 Pd 0.1335 0.7330 0.5000  4 Se 2.49-2.53

## Properties
Formation energy (no corrections), eV per atom: -0.249

=====

(3)
Material: Pd4Se
Method: DFT, GGA-PBE
State: relaxed

abc: 4.6346 4.6346 4.6346
angles: 90.00 90.00 90.00
With the nearest neighbours (Å) after each atom.
Fractional coordinates of all 5 atoms:
1 Pd 0.5000 0.0000 0.5000  2 Se 2.32
2 Pd 0.0000 0.0000 0.0000  12 Pd 3.28
3 Pd 0.5000 0.5000 0.0000  2 Se 2.32
4 Se 0.5000 0.5000 0.5000  6 Pd 2.32
5 Pd 0.0000 0.5000 0.5000  2 Se 2.32

## Properties
Formation energy (no corrections), eV per atom: 0.326
Offset from the most stable computed form, meV per atom: 477

=====

(4)
Material: Si2PdSe2
Method: DFT, GGA-PBE
State: relaxed

abc: 5.0463 5.0463 5.1246
angles: 60.50 60.50 90.00
With the nearest neighbours (Å) after each atom.
Fractional coordinates of all 5 atoms:
1 Pd 0.0000 0.0000 0.0000  2 Si 2.47
2 Se 0.7500 0.2500 0.5000  4 Si 2.60
3 Si 0.3359 0.3359 0.3283  1 Si 2.41, 1 Pd 2.47, 4 Se 2.60
4 Si 0.6641 0.6641 0.6717  1 Si 2.41, 1 Pd 2.47, 4 Se 2.60
5 Se 0.2500 0.7500 0.5000  4 Si 2.60

## Properties
Formation energy (no corrections), eV per atom: 0.106
Offset from the most stable computed form, meV per atom: 0

=====

(5)
Material: SiPdSe
Method: DFT, GGA-PBE
State: relaxed

abc: 4.5287 3.5917 7.8802
angles: 90.00 90.00 89.99
With the nearest neighbours (Å) after each atom.
Fractional coordinates of all 6 atoms:
1 Pd 0.7527 0.7514 0.8418  4 Si 2.40-2.45, 2 Se 2.67
2 Si 0.7529 0.2514 0.0445  1 Se 2.34, 4 Pd 2.40-2.45
3 Si 0.2527 0.7515 0.9594  1 Se 2.34, 4 Pd 2.40-2.45
4 Pd 0.2530 0.2515 0.1621  4 Si 2.40-2.45, 2 Se 2.67
5 Se 0.7529 0.2519 0.3413  1 Si 2.34
6 Se 0.2528 0.7519 0.6626  1 Si 2.34

## Properties
Formation energy (no corrections), eV per atom: -0.234

=====

(6)
Material: SiPd6Se2
Method: DFT, GGA-PBE
State: relaxed

abc: 6.0704 5.7632 9.0779
angles: 90.00 101.77 90.00
With the nearest neighbours (Å) after each atom.
Fractional coordinates of all 18 atoms:
1 Pd 0.7628 0.9023 0.2553  1 Si 2.45, 2 Se 2.54-2.55
2 Pd 0.6857 0.1573 0.9645  1 Si 2.33
3 Si 0.0000 0.0000 0.5000  6 Pd 2.33-2.45
4 Pd 0.3370 0.8163 0.4768  1 Si 2.35, 2 Se 2.57
5 Pd 0.6630 0.1837 0.5232  1 Si 2.35, 2 Se 2.57
6 Pd 0.8143 0.6573 0.5355  1 Si 2.33
7 Pd 0.3143 0.8427 0.0355  1 Si 2.33
8 Si 0.5000 0.5000 0.0000  6 Pd 2.33-2.45
9 Se 0.0914 0.6381 0.2388  7 Pd 2.54-2.79
10 Pd 0.8370 0.6837 0.9768  1 Si 2.35, 2 Se 2.57
11 Pd 0.2372 0.0977 0.7447  1 Si 2.45, 2 Se 2.54-2.55
12 Se 0.4086 0.1381 0.2612  7 Pd 2.54-2.79
13 Pd 0.1857 0.3427 0.4645  1 Si 2.33
14 Pd 0.1630 0.3163 0.0232  1 Si 2.35, 2 Se 2.57
15 Se 0.9086 0.3619 0.7612  7 Pd 2.54-2.79
16 Pd 0.7372 0.4023 0.2447  1 Si 2.45, 2 Se 2.54-2.55
17 Se 0.5914 0.8619 0.7388  7 Pd 2.54-2.79
18 Pd 0.2628 0.5977 0.7553  1 Si 2.45, 2 Se 2.54-2.55

## Properties
Formation energy (no corrections), eV per atom: -0.258